Entry 1:
Computed, not measured: an optimized crystal structure of SrPr3In2 at the PBE level of DFT.

N(E_F) = 11.6 states/eV per cell
Crystal system = orthorhombic
Theoretical density = 6.24 Mg/m³
Formation energy = -33 kJ/mol of atoms

a b c (Å): 5.638 9.787 7.135
angles (deg): 90.00 90.00 90.00
Space group Pmc2_1 (No. 26)
Asymmetric unit:
Sr 0.000 0.000 0.000 (multiplicity 2)
Pr 0.000 0.338 0.250 (multiplicity 2)
Pr 0.500 0.171 0.750 (multiplicity 2)
Pr 0.500 0.500 0.000 (multiplicity 2)
In 0.000 0.335 0.750 (multiplicity 2)
In 0.500 0.168 0.250 (multiplicity 2)


Entry 2:
Computed, not measured: an optimized crystal structure of SrPr2In9 at the PBE level of DFT.

N(E_F) = 6.1 states/eV per cell
Crystal system = tetragonal
Theoretical density = 7.10 Mg/m³
Formation energy = -40 kJ/mol of atoms

a b c (Å): 4.780 4.780 14.358
angles (deg): 90.00 90.00 90.00
Space group P4/mmm (No. 123)
Asymmetric unit:
Sr 0.000 0.000 0.000 (multiplicity 1)
Pr 0.000 0.000 0.338 (multiplicity 2)
In 0.000 0.500 0.171 (multiplicity 4)
In 0.000 0.500 0.500 (multiplicity 2)
In 0.500 0.500 0.000 (multiplicity 1)
In 0.500 0.500 0.335 (multiplicity 2)


Entry 3:
Computed, not measured: an optimized crystal structure of Sr2PrIn at the PBE level of DFT.

N(E_F) = 15.8 states/eV per cell
Crystal system = trigonal
Theoretical density = 4.47 Mg/m³
Formation energy = -3 kJ/mol of atoms

a b c (Å): 3.9513 3.9513 35.5265
angles (deg): 90.00 90.00 120.00
Space group R3m (No. 160, hexagonal axes)
Asymmetric unit:
Sr 0.0000 0.0000 0.0000 (multiplicity 3)
Sr 0.0000 0.0000 0.1854 (multiplicity 3)
Pr 0.0000 0.0000 0.7590 (multiplicity 3)
In 0.0000 0.0000 0.5929 (multiplicity 3)


- Which of these has the lowest N(E_F)?
  SrPr2In9